First-principles (PBE-GGA) data for a relaxed UAl2F8 crystal, as listed in the Alexandria database.

Its density of states at the Fermi level is 0.550 states/eV per atom. Its symmetry is No. 12. As for the crystal system: monoclinic. The calculation puts the formation energy from raw total energies at -3071 meV/atom.

Lattice parameters (Å, degrees): 6.4573 6.4573 4.6100 93.53 93.53 53.20
Positions (direct):
U: 0.0000 0.0000 0.0000
Al: 0.2706 0.2706 0.5027
Al: 0.7294 0.7294 0.4973
F: 0.0569 0.6073 0.6785
F: 0.1797 0.1797 0.7984
F: 0.3763 0.3763 0.2555
F: 0.3927 0.9431 0.3215
F: 0.6073 0.0569 0.6785
F: 0.6237 0.6237 0.7445
F: 0.8203 0.8203 0.2016
F: 0.9431 0.3927 0.3215


First-principles (PBE-GGA) data for a relaxed Mg2TaH6 crystal, as listed in the Alexandria database.

Its density of states at the Fermi level is 0.399 states/eV per atom. Its symmetry is No. 225. As for the crystal system: cubic. The total energy comes out at -3.8017 eV per atom.

Lattice parameters (Å, degrees): 4.9696 4.9696 4.9696 60.00 60.00 60.00
Positions (direct):
Mg: 0.2500 0.2500 0.2500
Mg: 0.7500 0.7500 0.7500
Ta: 0.0000 0.0000 0.0000
H: 0.2647 0.2647 0.7353
H: 0.2647 0.7353 0.2647
H: 0.2647 0.7353 0.7353
H: 0.7353 0.2647 0.2647
H: 0.7353 0.2647 0.7353
H: 0.7353 0.7353 0.2647


First-principles (PBE-GGA) data for a relaxed PuTa3O9 crystal, as listed in the Alexandria database.

Its density of states at the Fermi level is 0.716 states/eV per atom. Its symmetry is No. 11. As for the crystal system: monoclinic. The calculation puts the formation energy from raw total energies at -2902 meV/atom.

Lattice parameters (Å, degrees): 5.4181 7.5894 8.3392 90.00 92.30 90.00
Positions (direct):
Pu: 0.0329 0.2500 0.4436
Pu: 0.9671 0.7500 0.5564
Ta: 0.0000 0.0000 0.0000
Ta: 0.0000 0.5000 0.0000
Ta: 0.4742 0.0053 0.6991
Ta: 0.4742 0.4947 0.6991
Ta: 0.5258 0.5053 0.3009
Ta: 0.5258 0.9947 0.3009
O: 0.0860 0.2500 0.9822
O: 0.1565 0.5574 0.7883
O: 0.1565 0.9426 0.7883
O: 0.2624 0.5386 0.4686
O: 0.2624 0.9614 0.4686
O: 0.3180 0.5485 0.1228
O: 0.3180 0.9515 0.1228
O: 0.3533 0.2500 0.6588
O: 0.4346 0.2500 0.3143
O: 0.5654 0.7500 0.6857
O: 0.6467 0.7500 0.3412
O: 0.6820 0.0485 0.8772
O: 0.6820 0.4515 0.8772
O: 0.7376 0.0386 0.5314
O: 0.7376 0.4614 0.5314
O: 0.8435 0.0574 0.2117
O: 0.8435 0.4426 0.2117
O: 0.9140 0.7500 0.0178


First-principles (PBE-GGA) data for a relaxed LiTlSnBi crystal, as listed in the Alexandria database.

The calculation puts the energy relative to the elements at -0.073 eV per atom. Its density of states at the Fermi level is 0.799 states/eV per atom. Its symmetry is No. 216. As for the crystal system: cubic.

Lattice parameters (Å, degrees): 5.3866 5.3866 5.3866 60.00 60.00 60.00
Positions (direct):
Li: 0.0000 0.0000 0.0000
Tl: 0.2500 0.2500 0.2500
Sn: 0.5000 0.5000 0.5000
Bi: 0.7500 0.7500 0.7500


First-principles (PBE-GGA) data for a relaxed Ac2MnGe3 crystal, as listed in the Alexandria database.

The calculation puts the energy relative to the elements at -0.531 eV per atom. Its density of states at the Fermi level is 0.411 states/eV per atom. Its symmetry is No. 25. As for the crystal system: orthorhombic.

Lattice parameters (Å, degrees): 4.4506 4.5548 7.5569 90.00 90.00 90.00
Positions (direct):
Ac: 0.0000 0.0000 0.0000
Ac: 0.5000 0.0000 0.4900
Mn: 0.0000 0.5000 0.6670
Ge: 0.0000 0.5000 0.3397
Ge: 0.5000 0.5000 0.1573
Ge: 0.5000 0.5000 0.8156


First-principles (PBE-GGA) data for a relaxed LiAgIBr crystal, as listed in the Alexandria database.

Its density of states at the Fermi level is 0.000 states/eV per atom. Its symmetry is No. 8. As for the crystal system: monoclinic. The calculation puts the formation energy from raw total energies at -850 meV/atom.

Lattice parameters (Å, degrees): 4.4952 4.4952 7.6948 106.98 106.98 59.99
Positions (direct):
Li: 0.0000 0.0000 0.0000
Ag: 0.4864 0.4864 0.4550
I: 0.8707 0.8707 0.6085
Br: 0.3591 0.3591 0.0768


First-principles (PBE-GGA) data for a relaxed LaSc2SiN crystal, as listed in the Alexandria database.

Its density of states at the Fermi level is 0.828 states/eV per atom. Its symmetry is No. 123. As for the crystal system: tetragonal. The calculation puts the formation energy from raw total energies at -895 meV/atom.

Lattice parameters (Å, degrees): 4.4429 4.4429 5.0059 90.00 90.00 90.00
Positions (direct):
La: 0.0000 0.0000 0.0000
Sc: 0.0000 0.5000 0.5000
Sc: 0.5000 0.0000 0.5000
Si: 0.5000 0.5000 0.0000
N: 0.0000 0.0000 0.5000


First-principles (PBE-GGA) data for a relaxed K3Pr2SmO6 crystal, as listed in the Alexandria database.

Its density of states at the Fermi level is 0.000 states/eV per atom. Its symmetry is No. 12. As for the crystal system: monoclinic. The calculation puts the formation energy from raw total energies at -2604 meV/atom.

Lattice parameters (Å, degrees): 6.3200 6.3200 6.6545 99.11 99.11 120.00
Positions (direct):
K: 0.0000 0.0000 0.0000
K: 0.3347 0.6653 0.0000
K: 0.6653 0.3347 0.0000
Pr: 0.1667 0.8333 0.5000
Pr: 0.8333 0.1667 0.5000
Sm: 0.5000 0.5000 0.5000
O: 0.1085 0.4362 0.3086
O: 0.2361 0.2361 0.6910
O: 0.4362 0.1085 0.3086
O: 0.5638 0.8915 0.6914
O: 0.7639 0.7639 0.3090
O: 0.8915 0.5638 0.6914